Entry 1:
{"formula": "KIn6Au4", "functional": "meta-GGA SCAN", "state": "PBEsol geometry", "lattice_angstrom": [[4.4079, 0.0000, 0.0000], [0.0000, 8.0667, 0.0000], [0.0000, -4.0333, 6.9859]], "species": ["In", "In", "In", "In", "In", "In", "Au", "Au", "Au", "Au", "K"], "frac_coords": [[0.5000, 0.8048, 0.6096], [0.5000, 0.8048, 0.1952], [0.0000, 0.4660, 0.5340], [0.0000, 0.4660, 0.9321], [0.5000, 0.3904, 0.1952], [0.0000, 0.0679, 0.5340], [0.5000, 0.2055, 0.4110], [0.5000, 0.5890, 0.7945], [0.5000, 0.2055, 0.7945], [0.0000, 0.6667, 0.3333], [0.0000, 0.0000, 0.0000]], "ef_ev_per_atom": -0.365, "total_energy_ev_per_cell": -489.292, "sg": "P-6m2, No. 187", "crystal_system": "hexagonal"}

---

Entry 2:
{"formula": "KInAu", "functional": "meta-GGA SCAN", "state": "PBEsol geometry", "lattice_angstrom": [[-4.2348, -1.5832, -1.0998], [1.9500, -3.3869, -2.6329], [-0.8925, -0.7810, 4.5607]], "species": ["In", "Au", "K"], "frac_coords": [[0.0000, 0.3333, 0.6667], [0.0000, 0.0000, 0.0000], [0.5000, 0.6667, 0.3333]], "ef_ev_per_atom": -0.334, "total_energy_ev_per_cell": -111.874, "sg": "P-6m2, No. 187", "crystal_system": "hexagonal"}

---

Entry 3:
{"formula": "KInAu", "functional": "meta-GGA SCAN", "state": "PBEsol geometry", "lattice_angstrom": [[3.6985, 0.0000, 0.0000], [0.0000, 3.6985, 0.0000], [-1.8492, -1.8492, 6.0898]], "species": ["Au", "In", "K"], "frac_coords": [[0.0392, 0.0392, 0.0784], [0.6225, 0.6225, 0.2450], [0.3383, 0.3383, 0.6766]], "ef_ev_per_atom": -0.297, "total_energy_ev_per_cell": -111.764, "sg": "I4mm, No. 107", "crystal_system": "tetragonal"}

---

Entry 4:
{"formula": "KIn2Au", "functional": "meta-GGA SCAN", "state": "PBEsol geometry", "lattice_angstrom": [[3.4542, 0.0000, 0.0000], [0.0000, 3.4542, 0.0000], [0.0000, 0.0000, 8.5764]], "species": ["K", "In", "In", "Au"], "frac_coords": [[0.5000, 0.5000, 0.0000], [0.0000, 0.0000, 0.6903], [0.0000, 0.0000, 0.3097], [0.5000, 0.5000, 0.5000]], "ef_ev_per_atom": -0.239, "total_energy_ev_per_cell": -145.213, "sg": "P4/mmm, No. 123", "crystal_system": "tetragonal"}

---

Entry 5:
{"formula": "K3InAu5", "functional": "meta-GGA SCAN", "state": "PBEsol geometry", "lattice_angstrom": [[5.5322, 0.0000, 0.0000], [0.0000, 8.3646, 0.0000], [-2.7661, -4.1823, 9.7415]], "species": ["K", "K", "K", "K", "K", "K", "In", "In", "Au", "Au", "Au", "Au", "Au", "Au", "Au", "Au", "Au", "Au"], "frac_coords": [[0.0870, 0.7097, 0.1739], [0.4130, 0.0357, 0.8261], [0.9130, 0.2903, 0.8261], [0.5870, 0.9643, 0.1739], [0.2500, 0.6294, 0.5000], [0.7500, 0.3706, 0.5000], [0.7500, 0.9160, 0.5000], [0.2500, 0.0840, 0.5000], [0.8553, 0.8192, 0.7106], [0.3553, 0.3914, 0.7106], [0.6867, 0.6867, 0.8734], [0.8133, 0.3133, 0.1266], [0.0000, 0.0000, 0.0000], [0.1867, 0.6867, 0.8734], [0.5000, 0.5000, 0.0000], [0.3133, 0.3133, 0.1266], [0.1447, 0.1808, 0.2894], [0.6447, 0.6086, 0.2894]], "ef_ev_per_atom": -0.445, "total_energy_ev_per_cell": -816.327, "sg": "Imma, No. 74", "crystal_system": "orthorhombic"}

---

Entry 6:
{"formula": "KIn2Au", "functional": "meta-GGA SCAN", "state": "PBEsol geometry", "lattice_angstrom": [[4.5524, 0.0000, 0.0000], [0.0000, 5.2479, 0.0000], [-2.2762, -2.6240, 4.2825]], "species": ["In", "In", "K", "Au"], "frac_coords": [[0.7335, 0.2335, 0.4671], [0.9745, 0.9745, 0.9489], [0.5097, 0.5097, 0.0195], [0.2823, 0.7823, 0.5645]], "ef_ev_per_atom": -0.104, "total_energy_ev_per_cell": -144.676, "sg": "Imm2, No. 44", "crystal_system": "orthorhombic"}

---

Entry 7:
{"formula": "K4InAu", "functional": "meta-GGA SCAN", "state": "PBEsol geometry", "lattice_angstrom": [[-4.2116, 5.1308, 1.4048], [-3.7137, -0.1165, 5.6772], [1.4286, 4.2689, 5.0766]], "species": ["K", "K", "K", "K", "In", "Au"], "frac_coords": [[0.8715, 0.3762, 0.3762], [0.3762, 0.3762, 0.3762], [0.3762, 0.8715, 0.3762], [0.3762, 0.3762, 0.8715], [0.0000, 0.0000, 0.0000], [0.7500, 0.7500, 0.7500]], "ef_ev_per_atom": 0.304, "total_energy_ev_per_cell": -134.033, "sg": "F-43m, No. 216", "crystal_system": "cubic"}

---

Entry 8:
{"formula": "KIn2Au", "functional": "meta-GGA SCAN", "state": "PBEsol geometry", "lattice_angstrom": [[4.6793, 0.0000, 0.0000], [2.3396, 4.0524, 0.0000], [2.3396, 1.3508, 6.2212]], "species": ["In", "In", "Au", "K"], "frac_coords": [[0.7132, 0.7132, 0.8605], [0.9620, 0.9620, 0.1139], [0.3270, 0.3270, 0.0189], [0.5075, 0.5075, 0.4774]], "ef_ev_per_atom": -0.338, "total_energy_ev_per_cell": -145.609, "sg": "R3m, No. 160", "crystal_system": "trigonal"}

---

Entry 9:
{"formula": "KIn2Au4", "functional": "meta-GGA SCAN", "state": "PBEsol geometry", "lattice_angstrom": [[7.3929, 0.0235, 0.0000], [-2.6805, 6.8899, 0.0000], [-2.3562, -3.4567, 6.0955]], "species": ["In", "In", "In", "In", "Au", "Au", "Au", "Au", "Au", "Au", "Au", "Au", "K", "K"], "frac_coords": [[0.3532, 0.8532, 0.2063], [0.8532, 0.6468, 0.5000], [0.1468, 0.3532, 0.5000], [0.6468, 0.1468, 0.7937], [0.1852, 0.9844, 0.5000], [0.6852, 0.1852, 0.2009], [0.5156, 0.3148, 0.5000], [0.3148, 0.8148, 0.7991], [0.9844, 0.4844, 0.7991], [0.4844, 0.6852, 0.5000], [0.0156, 0.5156, 0.2009], [0.8148, 0.0156, 0.5000], [0.7500, 0.7500, 0.0000], [0.2500, 0.2500, 0.0000]], "ef_ev_per_atom": -0.366, "total_energy_ev_per_cell": -708.584, "sg": "I4/mcm, No. 140", "crystal_system": "tetragonal"}

---

Entry 10:
{"formula": "KInPAu2", "functional": "meta-GGA SCAN", "state": "PBEsol geometry", "lattice_angstrom": [[-1.5605, -0.8163, 4.4474], [0.6379, -4.6975, -0.6384], [5.0799, 0.4367, 1.8626]], "species": ["In", "Au", "Au", "K", "P"], "frac_coords": [[0.0000, 0.0000, 0.5000], [0.5000, 0.0000, 0.0000], [0.0000, 0.5000, 0.0000], [0.5000, 0.5000, 0.5000], [0.0000, 0.0000, 0.0000]], "ef_ev_per_atom": -0.007, "total_energy_ev_per_cell": -190.462, "sg": "P4/mmm, No. 123", "crystal_system": "tetragonal"}

---

Entry 11:
{"formula": "LaInAu", "functional": "meta-GGA SCAN", "state": "PBEsol geometry", "lattice_angstrom": [[4.2622, 0.0000, 0.0000], [0.0000, 7.7117, 0.0000], [0.0000, -3.8559, 6.6785]], "species": ["In", "In", "In", "Au", "Au", "Au", "La", "La", "La"], "frac_coords": [[0.0000, 0.7528, 0.0000], [0.0000, 0.2472, 0.2472], [0.0000, 0.0000, 0.7528], [0.0000, 0.3333, 0.6667], [0.0000, 0.6667, 0.3333], [0.5000, 0.0000, 0.0000], [0.5000, 0.5851, 0.5851], [0.5000, 0.0000, 0.4149], [0.5000, 0.4149, 0.0000]], "ef_ev_per_atom": -0.981, "total_energy_ev_per_cell": -445.771, "sg": "P-62m, No. 189", "crystal_system": "hexagonal"}

---

Entry 12:
{"formula": "LaInAu", "functional": "meta-GGA SCAN", "state": "PBEsol geometry", "lattice_angstrom": [[-1.1779, -2.7495, -1.8662], [3.2028, -0.4116, -1.4151], [0.4521, -2.0045, 5.9982]], "species": ["In", "Au", "La"], "frac_coords": [[0.3560, 0.3560, 0.7119], [0.9880, 0.9880, 0.9760], [0.6560, 0.6560, 0.3121]], "ef_ev_per_atom": -0.703, "total_energy_ev_per_cell": -147.758, "sg": "I4mm, No. 107", "crystal_system": "tetragonal"}

---

Entry 13:
{"formula": "LaInAu4", "functional": "meta-GGA SCAN", "state": "PBEsol geometry", "lattice_angstrom": [[-1.1591, -4.4179, 3.2053], [-0.7107, -5.0231, -2.3235], [3.8316, -3.9870, 0.7472]], "species": ["Au", "Au", "Au", "Au", "La", "In"], "frac_coords": [[0.3754, 0.3754, 0.3754], [0.3754, 0.8737, 0.3754], [0.3754, 0.3754, 0.8737], [0.8737, 0.3754, 0.3754], [0.0000, 0.0000, 0.0000], [0.7500, 0.7500, 0.7500]], "ef_ev_per_atom": -0.573, "total_energy_ev_per_cell": -356.558, "sg": "F-43m, No. 216", "crystal_system": "cubic"}